# TlSn3B (PBE, optimized geometry)
# - Calculated formation energy: 0.524 eV per atom
# - Polymorph energy (0 for the lowest one): 0 meV per atom
# - E_tot: -18.43 eV/cell
data_TlSn3B
_chemical_formula_sum 'Tl1 Sn3 B1'
_symmetry_space_group_name_H-M 'P m -3 m'
_symmetry_Int_Tables_number 221
_symmetry_space_group_name_Hall '-P 4 2 3'
_cell_length_a 4.9788
_cell_length_b 4.9788
_cell_length_c 4.9788
_cell_angle_alpha 90.00
_cell_angle_beta 90.00
_cell_angle_gamma 90.00
loop_
_atom_site_label
_atom_site_fract_x
_atom_site_fract_y
_atom_site_fract_z
_atom_site_occupancy
Tl1 0.0000 0.0000 0.0000 1
Sn1 0.0000 0.5000 0.5000 1
B1 0.5000 0.5000 0.5000 1



# TiCoIr2 (PBE, optimized geometry)
# - Calculated formation energy: 0.051 eV per atom
# - E_tot: -130.08 eV/cell
data_TiCoIr2
_chemical_formula_sum 'Ti4 Co4 Ir8'
_symmetry_space_group_name_H-M 'I -4 2 d'
_symmetry_Int_Tables_number 122
_symmetry_space_group_name_Hall 'I -4 2bw'
_cell_length_a 3.7872
_cell_length_b 3.7872
_cell_length_c 17.0455
_cell_angle_alpha 90.00
_cell_angle_beta 90.00
_cell_angle_gamma 90.00
loop_
_atom_site_label
_atom_site_fract_x
_atom_site_fract_y
_atom_site_fract_z
_atom_site_occupancy
Ti1 0.0000 0.0000 0.0000 1
Co1 0.0000 0.0000 0.5000 1
Ir1 0.2293 0.2500 0.6250 1



# SrAcBi (PBE, optimized geometry)
# - Calculated formation energy: -0.291 eV per atom
# - Polymorph energy (0 for the lowest one): 196 meV per atom
# - E_tot: -21.09 eV/cell
data_SrAcBi
_chemical_formula_sum 'Sr2 Ac2 Bi2'
_symmetry_space_group_name_H-M 'P -3 m 1'
_symmetry_Int_Tables_number 164
_symmetry_space_group_name_Hall '-P 3 2"'
_cell_length_a 5.7294
_cell_length_b 5.7294
_cell_length_c 12.4336
_cell_angle_alpha 90.00
_cell_angle_beta 90.00
_cell_angle_gamma 120.00
loop_
_atom_site_label
_atom_site_fract_x
_atom_site_fract_y
_atom_site_fract_z
_atom_site_occupancy
Sr1 0.3333 0.6667 0.1046 1
Ac1 0.3333 0.6667 0.6425 1
Bi1 0.3333 0.6667 0.3710 1



# NdEr2Zr (PBE, optimized geometry)
# - Calculated formation energy: 0.077 eV per atom
# - Polymorph energy (0 for the lowest one): 0 meV per atom
# - E_tot: -66.40 eV/cell
data_NdEr2Zr
_chemical_formula_sum 'Nd3 Er6 Zr3'
_symmetry_space_group_name_H-M 'R 3 m'
_symmetry_Int_Tables_number 160
_symmetry_space_group_name_Hall 'R 3 -2"'
_cell_length_a 3.4652
_cell_length_b 3.4652
_cell_length_c 33.8522
_cell_angle_alpha 90.00
_cell_angle_beta 90.00
_cell_angle_gamma 120.00
loop_
_atom_site_label
_atom_site_fract_x
_atom_site_fract_y
_atom_site_fract_z
_atom_site_occupancy
Nd1 0.0000 0.0000 0.0000 1
Er1 0.0000 0.0000 0.5765 1
Er2 0.0000 0.0000 0.7558 1
Zr1 0.0000 0.0000 0.1661 1



# Sr2Cd2Pd5Au (PBE, optimized geometry)
# - Calculated formation energy: -0.389 eV per atom
# - E_tot: -76.66 eV/cell
data_Sr2Cd2Pd5Au
_chemical_formula_sum 'Sr4 Cd4 Pd10 Au2'
_symmetry_space_group_name_H-M 'P 4/m b m'
_symmetry_Int_Tables_number 127
_symmetry_space_group_name_Hall '-P 4 2ab'
_cell_length_a 10.2629
_cell_length_b 10.2629
_cell_length_c 3.9561
_cell_angle_alpha 90.00
_cell_angle_beta 90.00
_cell_angle_gamma 90.00
loop_
_atom_site_label
_atom_site_fract_x
_atom_site_fract_y
_atom_site_fract_z
_atom_site_occupancy
Sr1 0.1759 0.3241 0.0000 1
Cd1 0.1247 0.6247 0.0000 1
Pd1 0.0000 0.5000 0.5000 1
Pd2 0.0572 0.8044 0.5000 1
Au1 0.0000 0.0000 0.0000 1



# CsLiSF2 (PBE, optimized geometry)
# - Energy relative to the elements, uncorrected: -440 meV/atom
# - E_tot: -12.84 eV/cell
data_CsLiSF2
_chemical_formula_sum 'Cs1 Li1 S1 F2'
_symmetry_space_group_name_H-M 'P 4/m m m'
_symmetry_Int_Tables_number 123
_symmetry_space_group_name_Hall '-P 4 2'
_cell_length_a 4.7691
_cell_length_b 4.7691
_cell_length_c 6.0349
_cell_angle_alpha 90.00
_cell_angle_beta 90.00
_cell_angle_gamma 90.00
loop_
_atom_site_label
_atom_site_fract_x
_atom_site_fract_y
_atom_site_fract_z
_atom_site_occupancy
Cs1 0.0000 0.0000 0.0000 1
Li1 0.5000 0.5000 0.0000 1
S1 0.0000 0.0000 0.5000 1
F1 0.0000 0.5000 0.5000 1